--- a ---
Compound: FePd3Pt
Source: Alexandria via LeMat-Bulk
Functional: PBE
Structure: optimized geometry

a = 5.897 Å, b = 5.897 Å, c = 4.984 Å
α = 90.00°, β = 90.00°, γ = 96.80°
Atoms (fractional coordinates):
Fe (0.237, 0.763, 0.750)
Fe (0.763, 0.237, 0.250)
Pd (0.103, 0.515, 0.250)
Pd (0.485, 0.897, 0.250)
Pd (0.500, 0.500, 0.000)
Pd (0.500, 0.500, 0.500)
Pd (0.515, 0.103, 0.750)
Pd (0.897, 0.485, 0.750)
Pt (0.046, 0.954, 0.250)
Pt (0.954, 0.046, 0.750)

Computed properties:
Spin magnetization (Bohr magnetons per cell): 8.7
Space-group type: Cmcm

=====

--- b ---
Compound: FePd3Pt
Source: Alexandria via LeMat-Bulk
Functional: PBE
Structure: optimized geometry

a = 8.744 Å, b = 8.102 Å, c = 4.534 Å
α = 90.00°, β = 90.00°, γ = 90.00°
Atoms (fractional coordinates):
Fe (0.000, 0.000, 0.000)
Fe (0.000, 0.500, 0.000)
Fe (0.500, 0.000, 0.500)
Fe (0.500, 0.500, 0.500)
Pd (0.064, 0.250, 0.372)
Pd (0.197, 0.568, 0.576)
Pd (0.197, 0.932, 0.576)
Pd (0.303, 0.068, 0.076)
Pd (0.303, 0.432, 0.076)
Pd (0.436, 0.750, 0.872)
Pd (0.564, 0.250, 0.128)
Pd (0.697, 0.568, 0.924)
Pd (0.697, 0.932, 0.924)
Pd (0.803, 0.068, 0.424)
Pd (0.803, 0.432, 0.424)
Pd (0.936, 0.750, 0.628)
Pt (0.154, 0.750, 0.095)
Pt (0.346, 0.250, 0.595)
Pt (0.654, 0.750, 0.405)
Pt (0.846, 0.250, 0.905)

Computed properties:
Spin magnetization (Bohr magnetons per cell): 17.8
Space-group type: Pnma

=====

--- c ---
Compound: FePd3Pt
Source: Alexandria via LeMat-Bulk
Functional: PBE
Structure: optimized geometry

a = 4.511 Å, b = 4.511 Å, c = 4.511 Å
α = 90.00°, β = 90.00°, γ = 90.00°
Atoms (fractional coordinates):
Fe (0.000, 0.000, 0.000)
Pd (0.000, 0.000, 0.500)
Pd (0.000, 0.500, 0.000)
Pd (0.500, 0.000, 0.000)
Pt (0.500, 0.500, 0.500)

Computed properties:
Spin magnetization (Bohr magnetons per cell): 3.6
Space-group type: Pm-3m

=====

Most stable of them? b.

=====

--- a ---
Compound: FePd4Pt
Source: Alexandria via LeMat-Bulk
Functional: PBE
Structure: optimized geometry

a = 7.305 Å, b = 7.305 Å, c = 4.802 Å
α = 108.77°, β = 108.77°, γ = 21.86°
Atoms (fractional coordinates):
Fe (0.000, 0.000, 0.000)
Pd (0.166, 0.166, 0.500)
Pd (0.338, 0.338, 0.997)
Pd (0.662, 0.662, 0.003)
Pd (0.834, 0.834, 0.500)
Pt (0.500, 0.500, 0.500)

Computed properties:
Spin magnetization (Bohr magnetons per cell): 4.9
Space-group type: C2/m

=====

--- b ---
Compound: FePd4Pt
Source: Alexandria via LeMat-Bulk
Functional: PBE
Structure: optimized geometry

a = 6.055 Å, b = 6.055 Å, c = 5.383 Å
α = 90.00°, β = 90.00°, γ = 90.00°
Atoms (fractional coordinates):
Fe (0.000, 0.500, 0.250)
Fe (0.500, 0.000, 0.750)
Pd (0.176, 0.233, 0.888)
Pd (0.176, 0.767, 0.612)
Pd (0.233, 0.176, 0.388)
Pd (0.233, 0.824, 0.112)
Pd (0.767, 0.176, 0.112)
Pd (0.767, 0.824, 0.388)
Pd (0.824, 0.233, 0.612)
Pd (0.824, 0.767, 0.888)
Pt (0.500, 0.500, 0.000)
Pt (0.500, 0.500, 0.500)

Computed properties:
Spin magnetization (Bohr magnetons per cell): 9.0
Space-group type: P-42c

=====

Most stable of them? a.

=====

--- a ---
Compound: FePd4Pt2
Source: Alexandria via LeMat-Bulk
Functional: PBE
Structure: optimized geometry

a = 7.120 Å, b = 7.120 Å, c = 7.120 Å
α = 142.28°, β = 142.28°, γ = 54.40°
Atoms (fractional coordinates):
Fe (0.000, 0.000, 0.000)
Pd (0.000, 0.500, 0.500)
Pd (0.186, 0.186, 0.000)
Pd (0.500, 0.000, 0.500)
Pd (0.814, 0.814, 0.000)
Pt (0.390, 0.390, 0.000)
Pt (0.610, 0.610, 0.000)

Computed properties:
Spin magnetization (Bohr magnetons per cell): 4.1
Space-group type: I4/mmm

=====

--- b ---
Compound: FePd4Pt2
Source: Alexandria via LeMat-Bulk
Functional: PBE
Structure: optimized geometry

a = 9.159 Å, b = 5.081 Å, c = 9.394 Å
α = 71.58°, β = 31.76°, γ = 76.67°
Atoms (fractional coordinates):
Fe (0.000, 0.000, 0.000)
Fe (0.250, 0.250, 0.250)
Pd (0.173, 0.314, 0.578)
Pd (0.314, 0.173, 0.934)
Pd (0.316, 0.672, 0.936)
Pd (0.545, 0.755, 0.296)
Pd (0.672, 0.316, 0.077)
Pd (0.755, 0.545, 0.404)
Pd (0.846, 0.954, 0.495)
Pd (0.954, 0.846, 0.705)
Pt (0.112, 0.547, 0.859)
Pt (0.391, 0.767, 0.138)
Pt (0.547, 0.112, 0.483)
Pt (0.767, 0.391, 0.703)

Computed properties:
Spin magnetization (Bohr magnetons per cell): 9.8
Space-group type: Fdd2

=====

Most stable of them? b.

=====

--- a ---
Compound: FePd3Pt2
Source: Alexandria via LeMat-Bulk
Functional: PBE
Structure: optimized geometry

a = 8.715 Å, b = 9.276 Å, c = 2.698 Å
α = 90.00°, β = 90.00°, γ = 90.00°
Atoms (fractional coordinates):
Fe (0.000, 0.000, 0.000)
Fe (0.500, 0.500, 0.500)
Pd (0.000, 0.500, 0.000)
Pd (0.030, 0.238, 0.500)
Pd (0.470, 0.738, 0.000)
Pd (0.500, 0.000, 0.500)
Pd (0.530, 0.262, 0.000)
Pd (0.970, 0.762, 0.500)
Pt (0.239, 0.610, 0.500)
Pt (0.261, 0.110, 0.000)
Pt (0.739, 0.890, 0.000)
Pt (0.761, 0.390, 0.500)

Computed properties:
Spin magnetization (Bohr magnetons per cell): 8.0
Space-group type: Pnnm

=====

--- b ---
Compound: FePd3Pt2
Source: Alexandria via LeMat-Bulk
Functional: PBE
Structure: optimized geometry

a = 7.823 Å, b = 2.765 Å, c = 8.344 Å
α = 90.00°, β = 90.03°, γ = 90.00°
Atoms (fractional coordinates):
Fe (0.126, 0.250, 0.249)
Fe (0.874, 0.750, 0.751)
Pd (0.118, 0.250, 0.916)
Pd (0.366, 0.750, 0.415)
Pd (0.374, 0.750, 0.749)
Pd (0.626, 0.250, 0.251)
Pd (0.634, 0.250, 0.585)
Pd (0.882, 0.750, 0.084)
Pt (0.116, 0.250, 0.588)
Pt (0.367, 0.750, 0.089)
Pt (0.633, 0.250, 0.911)
Pt (0.884, 0.750, 0.412)

Computed properties:
Spin magnetization (Bohr magnetons per cell): 9.3
Space-group type: P2_1/m

=====

Most stable of them? b.

=====

--- a ---
Compound: FePd2Pt2
Source: Alexandria via LeMat-Bulk
Functional: PBE
Structure: optimized geometry

a = 7.203 Å, b = 7.203 Å, c = 7.203 Å
α = 151.08°, β = 151.08°, γ = 41.35°
Atoms (fractional coordinates):
Fe (0.000, 0.000, 0.000)
Pd (0.405, 0.405, 0.000)
Pd (0.595, 0.595, 0.000)
Pt (0.250, 0.750, 0.500)
Pt (0.750, 0.250, 0.500)

Computed properties:
Spin magnetization (Bohr magnetons per cell): 4.4
Space-group type: I4/mmm

=====

--- b ---
Compound: FePd2Pt2
Source: Alexandria via LeMat-Bulk
Functional: PBE
Structure: optimized geometry

a = 10.026 Å, b = 10.026 Å, c = 10.026 Å
α = 164.22°, β = 164.22°, γ = 22.38°
Atoms (fractional coordinates):
Fe (0.000, 0.000, 0.000)
Pd (0.198, 0.198, 0.000)
Pd (0.802, 0.802, 0.000)
Pt (0.408, 0.408, 0.000)
Pt (0.592, 0.592, 0.000)

Computed properties:
Spin magnetization (Bohr magnetons per cell): 4.0
Space-group type: I4/mmm

=====

Most stable of them? b.

=====

--- a ---
Compound: Fe3PdPt
Source: Alexandria via LeMat-Bulk
Functional: PBE
Structure: optimized geometry

a = 4.647 Å, b = 4.647 Å, c = 4.647 Å
α = 90.00°, β = 90.00°, γ = 90.00°
Atoms (fractional coordinates):
Fe (0.000, 0.000, 0.500)
Fe (0.000, 0.500, 0.000)
Fe (0.500, 0.000, 0.000)
Pd (0.500, 0.500, 0.500)
Pt (0.000, 0.000, 0.000)

Computed properties:
Spin magnetization (Bohr magnetons per cell): 10.4
Space-group type: Pm-3m

=====

--- b ---
Compound: Fe3PdPt
Source: Alexandria via LeMat-Bulk
Functional: PBE
Structure: optimized geometry

a = 5.860 Å, b = 5.860 Å, c = 5.860 Å
α = 64.98°, β = 64.98°, γ = 64.98°
Atoms (fractional coordinates):
Fe (0.017, 0.251, 0.481)
Fe (0.251, 0.481, 0.017)
Fe (0.481, 0.017, 0.251)
Fe (0.519, 0.983, 0.749)
Fe (0.749, 0.519, 0.983)
Fe (0.983, 0.749, 0.519)
Pd (0.094, 0.094, 0.094)
Pd (0.906, 0.906, 0.906)
Pt (0.405, 0.405, 0.405)
Pt (0.595, 0.595, 0.595)

Computed properties:
Spin magnetization (Bohr magnetons per cell): 20.0
Space-group type: R-3

=====

Most stable of them? b.

=====

--- a ---
Compound: FePd3Pt4
Source: Alexandria via LeMat-Bulk
Functional: PBE
Structure: optimized geometry

a = 9.231 Å, b = 9.231 Å, c = 4.820 Å
α = 95.14°, β = 95.14°, γ = 17.31°
Atoms (fractional coordinates):
Fe (0.000, 0.000, 0.000)
Pd (0.250, 0.250, 0.751)
Pd (0.500, 0.500, 0.500)
Pd (0.750, 0.750, 0.249)
Pt (0.123, 0.123, 0.373)
Pt (0.380, 0.380, 0.122)
Pt (0.620, 0.620, 0.878)
Pt (0.877, 0.877, 0.627)

Computed properties:
Spin magnetization (Bohr magnetons per cell): 5.4
Space-group type: C2/m

=====

--- b ---
Compound: FePd3Pt4
Source: Alexandria via LeMat-Bulk
Functional: PBE
Structure: optimized geometry

a = 8.380 Å, b = 8.380 Å, c = 8.380 Å
α = 152.93°, β = 152.93°, γ = 38.65°
Atoms (fractional coordinates):
Fe (0.000, 0.000, 0.000)
Pd (0.252, 0.252, 0.000)
Pd (0.500, 0.500, 0.000)
Pd (0.748, 0.748, 0.000)
Pt (0.121, 0.621, 0.500)
Pt (0.379, 0.879, 0.500)
Pt (0.621, 0.121, 0.500)
Pt (0.879, 0.379, 0.500)

Computed properties:
Spin magnetization (Bohr magnetons per cell): 5.6
Space-group type: I4/mmm

=====

Most stable of them? b.

=====

--- a ---
Compound: Fe2Pd3Pt2
Source: Alexandria via LeMat-Bulk
Functional: PBE
Structure: optimized geometry

a = 13.856 Å, b = 13.856 Å, c = 2.746 Å
α = 90.00°, β = 90.00°, γ = 168.64°
Atoms (fractional coordinates):
Fe (0.141, 0.859, 0.000)
Fe (0.859, 0.141, 0.000)
Pd (0.000, 0.000, 0.000)
Pd (0.425, 0.575, 0.500)
Pd (0.575, 0.425, 0.500)
Pt (0.294, 0.706, 0.500)
Pt (0.706, 0.294, 0.500)

Computed properties:
Spin magnetization (Bohr magnetons per cell): 7.6
Space-group type: Cmmm

=====

--- b ---
Compound: Fe2Pd3Pt2
Source: Alexandria via LeMat-Bulk
Functional: PBE
Structure: optimized geometry

a = 4.705 Å, b = 4.705 Å, c = 6.250 Å
α = 99.77°, β = 99.77°, γ = 49.48°
Atoms (fractional coordinates):
Fe (0.209, 0.209, 0.156)
Fe (0.791, 0.791, 0.844)
Pd (0.359, 0.359, 0.570)
Pd (0.500, 0.500, 0.000)
Pd (0.641, 0.641, 0.430)
Pt (0.085, 0.085, 0.739)
Pt (0.915, 0.915, 0.261)

Computed properties:
Spin magnetization (Bohr magnetons per cell): 8.1
Space-group type: C2/m

=====

Most stable of them? b.

=====

--- a ---
Compound: FePdPt5
Source: Alexandria via LeMat-Bulk
Functional: PBE
Structure: optimized geometry

a = 6.081 Å, b = 6.081 Å, c = 6.081 Å
α = 109.16°, β = 89.03°, γ = 133.54°
Atoms (fractional coordinates):
Fe (0.000, 0.000, 0.000)
Pd (0.295, 0.795, 0.500)
Pt (0.457, 0.207, 0.250)
Pt (0.496, 0.496, 0.000)
Pt (0.793, 0.103, 0.310)
Pt (0.793, 0.483, 0.690)
Pt (0.958, 0.207, 0.750)

Computed properties:
Spin magnetization (Bohr magnetons per cell): 3.0
Space-group type: Imm2

=====

--- b ---
Compound: FePdPt5
Source: Alexandria via LeMat-Bulk
Functional: PBE
Structure: optimized geometry

a = 3.891 Å, b = 3.891 Å, c = 7.421 Å
α = 90.00°, β = 90.00°, γ = 90.00°
Atoms (fractional coordinates):
Fe (0.000, 0.000, 0.000)
Pd (0.500, 0.500, 0.500)
Pt (0.000, 0.000, 0.500)
Pt (0.000, 0.500, 0.220)
Pt (0.000, 0.500, 0.780)
Pt (0.500, 0.000, 0.220)
Pt (0.500, 0.000, 0.780)

Computed properties:
Spin magnetization (Bohr magnetons per cell): 3.3
Space-group type: P4/mmm

=====

Most stable of them? b.

=====

--- a ---
Compound: FePd2Pt8
Source: Alexandria via LeMat-Bulk
Functional: PBE
Structure: optimized geometry

a = 7.393 Å, b = 7.393 Å, c = 6.249 Å
α = 104.68°, β = 104.68°, γ = 30.83°
Atoms (fractional coordinates):
Fe (0.000, 0.000, 0.000)
Pd (0.276, 0.276, 0.367)
Pd (0.724, 0.724, 0.633)
Pt (0.089, 0.089, 0.440)
Pt (0.180, 0.180, 0.911)
Pt (0.368, 0.368, 0.827)
Pt (0.456, 0.456, 0.271)
Pt (0.544, 0.544, 0.729)
Pt (0.632, 0.632, 0.173)
Pt (0.820, 0.820, 0.089)
Pt (0.911, 0.911, 0.560)

Computed properties:
Spin magnetization (Bohr magnetons per cell): 5.5
Space-group type: C2/m

=====

--- b ---
Compound: FePd2Pt8
Source: Alexandria via LeMat-Bulk
Functional: PBE
Structure: optimized geometry

a = 6.675 Å, b = 6.675 Å, c = 5.076 Å
α = 102.21°, β = 102.21°, γ = 74.59°
Atoms (fractional coordinates):
Fe (0.000, 0.000, 0.000)
Pd (0.263, 0.263, 0.296)
Pd (0.737, 0.737, 0.704)
Pt (0.133, 0.610, 0.982)
Pt (0.187, 0.187, 0.745)
Pt (0.390, 0.867, 0.018)
Pt (0.471, 0.471, 0.729)
Pt (0.529, 0.529, 0.271)
Pt (0.610, 0.133, 0.982)
Pt (0.813, 0.813, 0.255)
Pt (0.867, 0.390, 0.018)

Computed properties:
Spin magnetization (Bohr magnetons per cell): 4.9
Space-group type: C2/m

=====

Most stable of them? a.

=====

--- a ---
Compound: FePd8Pt6
Source: Alexandria via LeMat-Bulk
Functional: PBE
Structure: optimized geometry

a = 6.896 Å, b = 6.896 Å, c = 6.896 Å
α = 60.49°, β = 60.49°, γ = 60.49°
Atoms (fractional coordinates):
Fe (0.000, 0.000, 0.000)
Pd (0.117, 0.815, 0.665)
Pd (0.185, 0.335, 0.883)
Pd (0.335, 0.883, 0.185)
Pd (0.421, 0.421, 0.421)
Pd (0.579, 0.579, 0.579)
Pd (0.665, 0.117, 0.815)
Pd (0.815, 0.665, 0.117)
Pd (0.883, 0.185, 0.335)
Pt (0.062, 0.269, 0.553)
Pt (0.269, 0.553, 0.062)
Pt (0.447, 0.938, 0.731)
Pt (0.553, 0.062, 0.269)
Pt (0.731, 0.447, 0.938)
Pt (0.938, 0.731, 0.447)

Computed properties:
Spin magnetization (Bohr magnetons per cell): 6.0
Space-group type: R-3

=====

--- b ---
Compound: FePd8Pt6
Source: Alexandria via LeMat-Bulk
Functional: PBE
Structure: optimized geometry

a = 6.411 Å, b = 6.411 Å, c = 6.411 Å
α = 74.16°, β = 74.16°, γ = 74.16°
Atoms (fractional coordinates):
Fe (0.000, 0.000, 0.000)
Pd (0.047, 0.366, 0.860)
Pd (0.140, 0.953, 0.634)
Pd (0.243, 0.243, 0.243)
Pd (0.366, 0.860, 0.047)
Pd (0.634, 0.140, 0.953)
Pd (0.757, 0.757, 0.757)
Pd (0.860, 0.047, 0.366)
Pd (0.953, 0.634, 0.140)
Pt (0.187, 0.605, 0.448)
Pt (0.395, 0.552, 0.813)
Pt (0.448, 0.187, 0.605)
Pt (0.552, 0.813, 0.395)
Pt (0.605, 0.448, 0.187)
Pt (0.813, 0.395, 0.552)

Computed properties:
Spin magnetization (Bohr magnetons per cell): 4.4
Space-group type: R-3

=====

Most stable of them? a.